Here is an optimized crystal structure of V3BiH from Alexandria. Energies are from PBE.

Properties
As for the distance to the lowest polymorph of the same formula: 0.000 eV/atom. As for the crystal system: cubic. As for the total magnetization: 0.0 μB/f.u.

a = 4.0286 Å, b = 4.0286 Å, c = 4.0286 Å
α = 90.00°, β = 90.00°, γ = 90.00°
Space group Pm-3m (No. 221)
Symmetry-distinct sites (fractional):
V: 0.0000 0.0000 0.5000 (multiplicity 3)
Bi: 0.5000 0.5000 0.5000 (multiplicity 1)
H: 0.0000 0.0000 0.0000 (multiplicity 1)